# 1
Entry from the Alexandria database: Na2CeSnCl8 after structural relaxation (PBE-GGA).

Cell and atoms, written as CIF:
```
data_Na2CeSnCl8
_chemical_formula_sum 'Na2 Ce1 Sn1 Cl8'
_space_group_name_H-M_alt 'P 1'
_space_group_IT_number 1
_space_group_name_Hall 'P 1'
_cell_length_a 6.579
_cell_length_b 6.493
_cell_length_c 8.571
_cell_angle_alpha 90.00
_cell_angle_beta 90.00
_cell_angle_gamma 93.38
loop_
_atom_site_label
_atom_site_type_symbol
_atom_site_fract_x
_atom_site_fract_y
_atom_site_fract_z
_atom_site_occupancy
Na1 Na 0.500 0.500 0.742 1
Na2 Na 0.500 0.500 0.258 1
Cl1 Cl 0.177 0.805 0.235 1
Cl2 Cl 0.697 0.714 0.000 1
Cl3 Cl 0.692 0.707 0.500 1
Cl4 Cl 0.177 0.805 0.765 1
Cl5 Cl 0.308 0.293 0.500 1
Cl6 Cl 0.823 0.195 0.235 1
Cl7 Cl 0.303 0.286 0.000 1
Cl8 Cl 0.823 0.195 0.765 1
Sn1 Sn 0.000 0.000 0.500 1
Ce1 Ce 0.000 0.000 0.000 1
```

E_tot	-3.933	eV/atom
SG	P2/m



# 2
Entry from the Alexandria database: K2CoSe after structural relaxation (PBE-GGA).

Cell and atoms, written as CIF:
```
data_K2CoSe
_chemical_formula_sum 'K2 Co1 Se1'
_space_group_name_H-M_alt 'P 1'
_space_group_IT_number 1
_space_group_name_Hall 'P 1'
_cell_length_a 4.116
_cell_length_b 4.116
_cell_length_c 9.468
_cell_angle_alpha 78.19
_cell_angle_beta 78.19
_cell_angle_gamma 59.99
loop_
_atom_site_label
_atom_site_type_symbol
_atom_site_fract_x
_atom_site_fract_y
_atom_site_fract_z
_atom_site_occupancy
K1 K 0.958 0.958 0.111 1
K2 K 0.792 0.792 0.639 1
Se1 Se 0.542 0.542 0.375 1
Co1 Co 0.208 0.208 0.375 1
```

E_tot	-3.431	eV/atom
SG	Cm



# 3
Entry from the Alexandria database: LiOs2Br after structural relaxation (PBE-GGA).

Cell and atoms, written as CIF:
```
data_LiOs2Br
_chemical_formula_sum 'Li1 Os2 Br1'
_space_group_name_H-M_alt 'P 1'
_space_group_IT_number 1
_space_group_name_Hall 'P 1'
_cell_length_a 2.779
_cell_length_b 2.779
_cell_length_c 10.399
_cell_angle_alpha 90.00
_cell_angle_beta 90.00
_cell_angle_gamma 118.05
loop_
_atom_site_label
_atom_site_type_symbol
_atom_site_fract_x
_atom_site_fract_y
_atom_site_fract_z
_atom_site_occupancy
Os1 Os 0.500 0.500 0.189 1
Os2 Os 0.000 0.000 0.984 1
Br1 Br 0.000 0.000 0.565 1
Li1 Li 0.500 0.500 0.762 1
```

SG	Cmm2
distance to the lowest polymorph of the same formula	271	meV/atom



# 4
Entry from the Alexandria database: BaHoSe2 after structural relaxation (PBE-GGA).

Cell and atoms, written as CIF:
```
data_BaHoSe2
_chemical_formula_sum 'Ba1 Ho1 Se2'
_space_group_name_H-M_alt 'P 1'
_space_group_IT_number 1
_space_group_name_Hall 'P 1'
_cell_length_a 4.200
_cell_length_b 4.200
_cell_length_c 8.070
_cell_angle_alpha 74.92
_cell_angle_beta 74.92
_cell_angle_gamma 60.00
loop_
_atom_site_label
_atom_site_type_symbol
_atom_site_fract_x
_atom_site_fract_y
_atom_site_fract_z
_atom_site_occupancy
Se1 Se 0.264 0.264 0.207 1
Se2 Se 0.070 0.070 0.790 1
Ho1 Ho 0.669 0.669 0.992 1
Ba1 Ba 0.496 0.496 0.511 1
```

SG	R3m
distance to the lowest polymorph of the same formula	53	meV/atom